Entry from Alexandria: LaMgWO6 after structural relaxation (GGA+U).

Results
M_tot = 1.1 μB per cell
Final energy = -65.4 eV/cell

Lattice parameters (Å, degrees): 5.339 5.339 5.136 90.00 90.00 120.00
Sites, in units of the cell vectors:
La  0.000  0.000  0.000
Mg  0.333  0.667  0.500
W  0.667  0.333  0.500
O  0.375  0.021  0.713
O  0.375  0.354  0.287
O  0.646  0.021  0.287
O  0.646  0.625  0.713
O  0.979  0.354  0.713
O  0.979  0.625  0.287